Computed, not measured: a PBEsol-optimized structure of LiAgPt2 at the meta-GGA SCAN level of DFT.

Summary:
- energy above the most stable polymorph in this dataset (eV per formula unit) = 0.154
- magnetic moment (μB/f.u.) = 0.00
- theoretical density (g/cm³) = 14.13

Cell: 2.7127 4.6082 4.7520 Å, 90.00 92.38 90.00°
Fractional positions:
Li (0.0000, 0.0000, 0.0000)
Ag (0.5000, 0.0000, 0.5000)
Pt (0.2358, 0.5000, 0.7567)
Pt (0.7642, 0.5000, 0.2433)